A relaxed structure of Zr8P3C3N. Source: Alexandria via LeMat-Bulk, functional GGA-PBE.

```
Zr8P3C3N
1.0
3.440 1.986 5.969
-3.440 1.986 5.969
0.000 -3.972 5.969
Zr P C N
8 3 3 1
Direct
0.236 0.236 0.236
0.241 0.736 0.736
0.264 0.264 0.759
0.264 0.759 0.264
0.736 0.241 0.736
0.736 0.736 0.241
0.759 0.264 0.264
0.764 0.764 0.764
0.000 0.500 0.500
0.500 0.000 0.500
0.500 0.500 0.000
0.000 0.000 0.500
0.000 0.500 0.000
0.500 0.000 0.000
0.500 0.500 0.500
```

Computed properties:
raw formation energy = -103.06 kJ/mol of atoms


A relaxed structure of Zr6PC2N3. Source: Alexandria via LeMat-Bulk, functional GGA-PBE.

```
Zr6PC2N3
1.0
7.354 -1.682 0.000
7.354 1.682 0.000
-1.532 0.000 6.637
Zr P C N
6 1 2 3
Direct
0.001 0.001 0.279
0.323 0.323 0.902
0.330 0.330 0.419
0.670 0.670 0.581
0.677 0.677 0.098
0.999 0.999 0.721
0.500 0.500 0.000
0.168 0.168 0.335
0.832 0.832 0.665
0.167 0.167 0.833
0.500 0.500 0.500
0.833 0.833 0.167
```

Computed properties:
raw formation energy = -121.13 kJ/mol of atoms


A relaxed structure of Zr4PCN2. Source: Alexandria via LeMat-Bulk, functional GGA-PBE.

```
Zr4PCN2
1.0
5.939 0.000 0.000
0.000 5.939 0.000
0.000 0.000 7.236
Zr P C N
8 2 2 4
Direct
0.206 0.206 0.180
0.206 0.794 0.820
0.294 0.294 0.680
0.294 0.706 0.320
0.706 0.294 0.320
0.706 0.706 0.680
0.794 0.206 0.820
0.794 0.794 0.180
0.000 0.000 0.500
0.500 0.500 0.000
0.000 0.000 0.000
0.500 0.500 0.500
0.000 0.500 0.250
0.000 0.500 0.750
0.500 0.000 0.250
0.500 0.000 0.750
```

Computed properties:
raw formation energy = -92.63 kJ/mol of atoms


A relaxed structure of PaCN. Source: Alexandria via LeMat-Bulk, functional GGA-PBE.

```
PaCN
1.0
3.540 0.000 0.000
0.000 3.540 0.000
0.000 0.000 6.023
Pa C N
2 2 2
Direct
0.000 0.000 0.000
0.500 0.500 0.500
0.000 0.000 0.609
0.500 0.500 0.109
0.000 0.000 0.383
0.500 0.500 0.883
```

Computed properties:
raw formation energy = -76.41 kJ/mol of atoms


A relaxed structure of PaCN. Source: Alexandria via LeMat-Bulk, functional GGA-PBE.

```
PaCN
1.0
5.496 0.000 0.000
0.000 5.496 0.000
0.000 0.000 5.496
Pa C N
4 4 4
Direct
0.000 0.000 0.000
0.000 0.500 0.500
0.500 0.000 0.500
0.500 0.500 0.000
0.250 0.250 0.750
0.250 0.750 0.250
0.750 0.250 0.250
0.750 0.750 0.750
0.250 0.250 0.250
0.250 0.750 0.750
0.750 0.250 0.750
0.750 0.750 0.250
```

Computed properties:
raw formation energy = -19.50 kJ/mol of atoms


A relaxed structure of PaCN2. Source: Alexandria via LeMat-Bulk, functional GGA-PBE.

```
PaCN2
1.0
3.288 0.000 0.000
-1.644 2.848 0.000
0.000 0.000 17.527
Pa C N
3 3 6
Direct
0.000 0.000 0.000
0.333 0.667 0.667
0.667 0.333 0.333
0.000 0.000 0.500
0.333 0.667 0.167
0.667 0.333 0.833
0.000 0.000 0.430
0.000 0.000 0.570
0.333 0.667 0.096
0.333 0.667 0.237
0.667 0.333 0.763
0.667 0.333 0.904
```

Computed properties:
raw formation energy = -39.89 kJ/mol of atoms


A relaxed structure of Pa6CN5. Source: Alexandria via LeMat-Bulk, functional GGA-PBE.

```
Pa6CN5
1.0
3.047 -5.282 0.000
3.047 5.282 0.000
-2.030 0.000 5.745
Pa C N
6 1 5
Direct
0.082 0.416 0.749
0.249 0.249 0.250
0.416 0.082 0.749
0.584 0.918 0.251
0.751 0.751 0.750
0.918 0.584 0.251
0.500 0.500 0.000
0.000 0.000 0.500
0.167 0.833 0.000
0.336 0.664 0.500
0.664 0.336 0.500
0.833 0.167 0.000
```

Computed properties:
raw formation energy = -140.94 kJ/mol of atoms


A relaxed structure of Pa6C5N. Source: Alexandria via LeMat-Bulk, functional GGA-PBE.

```
Pa6C5N
1.0
3.102 -5.376 0.000
3.102 5.376 0.000
-2.077 0.000 5.852
Pa C N
6 5 1
Direct
0.083 0.415 0.750
0.249 0.249 0.250
0.415 0.083 0.750
0.585 0.917 0.250
0.751 0.751 0.750
0.917 0.585 0.250
0.168 0.832 0.000
0.334 0.666 0.500
0.500 0.500 0.000
0.666 0.334 0.500
0.832 0.168 0.000
0.000 0.000 0.500
```

Computed properties:
raw formation energy = -63.59 kJ/mol of atoms


A relaxed structure of Pa4CN3. Source: Alexandria via LeMat-Bulk, functional GGA-PBE.

```
Pa4CN3
1.0
1.763 1.018 11.538
-1.763 1.018 11.538
0.000 -2.036 11.538
Pa C N
4 1 3
Direct
0.124 0.124 0.124
0.375 0.375 0.375
0.625 0.625 0.625
0.876 0.876 0.876
0.500 0.500 0.500
0.000 0.000 0.000
0.252 0.252 0.252
0.748 0.748 0.748
```

Computed properties:
raw formation energy = -130.93 kJ/mol of atoms


A relaxed structure of Pa2CN. Source: Alexandria via LeMat-Bulk, functional GGA-PBE.

```
Pa2CN
1.0
3.560 0.000 0.000
-1.780 3.083 0.000
0.000 0.000 17.330
Pa C N
6 3 3
Direct
0.000 0.000 0.249
0.000 0.000 0.751
0.333 0.667 0.417
0.333 0.667 0.916
0.667 0.333 0.084
0.667 0.333 0.583
0.000 0.000 0.000
0.333 0.667 0.667
0.667 0.333 0.333
0.000 0.000 0.500
0.333 0.667 0.167
0.667 0.333 0.833
```

Computed properties:
raw formation energy = -103.62 kJ/mol of atoms


A relaxed structure of PaC3N6. Source: Alexandria via LeMat-Bulk, functional GGA-PBE.

```
PaC3N6
1.0
-3.490 3.490 3.490
3.490 -3.490 3.490
3.490 3.490 -3.490
Pa C N
1 3 6
Direct
0.000 0.000 0.000
0.000 0.500 0.500
0.500 0.000 0.500
0.500 0.500 0.000
0.000 0.325 0.325
0.000 0.675 0.675
0.325 0.000 0.325
0.325 0.325 0.000
0.675 0.000 0.675
0.675 0.675 0.000
```

Computed properties:
raw formation energy = -18.89 kJ/mol of atoms


A relaxed structure of Pa4C2N. Source: Alexandria via LeMat-Bulk, functional GGA-PBE.

```
Pa4C2N
1.0
13.263 0.000 0.000
0.000 3.453 0.000
-2.577 0.000 5.397
Pa C N
8 4 2
Direct
0.124 0.000 0.289
0.130 0.500 0.808
0.370 0.000 0.192
0.376 0.500 0.711
0.624 0.500 0.289
0.630 0.000 0.808
0.870 0.500 0.192
0.876 0.000 0.711
0.245 0.000 0.733
0.255 0.500 0.267
0.745 0.500 0.733
0.755 0.000 0.267
0.000 0.500 0.000
0.500 0.000 0.000
```

Computed properties:
raw formation energy = -59.19 kJ/mol of atoms


A relaxed structure of Pa6CN8. Source: Alexandria via LeMat-Bulk, functional GGA-PBE.

```
Pa6CN8
1.0
3.248 1.875 6.000
-3.248 1.875 6.000
0.000 -3.751 6.000
Pa C N
6 1 8
Direct
0.083 0.415 0.750
0.250 0.917 0.585
0.415 0.750 0.083
0.585 0.250 0.917
0.750 0.083 0.415
0.917 0.585 0.250
0.000 0.000 0.000
0.120 0.786 0.455
0.214 0.545 0.880
0.334 0.334 0.334
0.455 0.120 0.786
0.545 0.880 0.214
0.666 0.666 0.666
0.786 0.455 0.120
0.880 0.214 0.545
```

Computed properties:
raw formation energy = -147.41 kJ/mol of atoms


A relaxed structure of Pa2C3N6. Source: Alexandria via LeMat-Bulk, functional GGA-PBE.

```
Pa2C3N6
1.0
7.234 -1.901 0.000
7.234 1.901 0.000
-0.625 0.000 5.396
Pa C N
2 3 6
Direct
0.132 0.132 0.077
0.868 0.868 0.923
0.000 0.000 0.500
0.326 0.326 0.406
0.674 0.674 0.594
0.016 0.016 0.729
0.311 0.311 0.174
0.342 0.342 0.633
0.658 0.658 0.367
0.689 0.689 0.826
0.984 0.984 0.271
```

Computed properties:
raw formation energy = -41.23 kJ/mol of atoms


A relaxed structure of Pa4C3N. Source: Alexandria via LeMat-Bulk, functional GGA-PBE.

```
Pa4C3N
1.0
5.054 0.000 0.000
0.000 5.054 0.000
0.000 0.000 5.054
Pa C N
4 3 1
Direct
0.000 0.000 0.000
0.000 0.500 0.500
0.500 0.000 0.500
0.500 0.500 0.000
0.000 0.000 0.500
0.000 0.500 0.000
0.500 0.000 0.000
0.500 0.500 0.500
```

Computed properties:
raw formation energy = -72.50 kJ/mol of atoms


A relaxed structure of PaC2N3. Source: Alexandria via LeMat-Bulk, functional GGA-PBE.

```
PaC2N3
1.0
10.484 -2.432 0.000
10.484 2.432 0.000
-0.457 0.000 3.316
Pa C N
2 4 6
Direct
0.000 0.000 0.000
0.606 0.606 0.091
0.213 0.213 0.787
0.392 0.392 0.512
0.695 0.695 0.638
0.911 0.911 0.394
0.133 0.642 0.538
0.303 0.803 0.533
0.472 0.964 0.822
0.642 0.133 0.538
0.803 0.303 0.533
0.964 0.472 0.822
```

Computed properties:
raw formation energy = 14.28 kJ/mol of atoms


A relaxed structure of Pa4C3N. Source: Alexandria via LeMat-Bulk, functional GGA-PBE.

```
Pa4C3N
1.0
6.199 0.000 0.000
0.000 7.128 0.000
-2.048 0.000 5.863
Pa C N
8 6 2
Direct
0.249 0.124 0.000
0.249 0.876 0.500
0.250 0.374 0.499
0.250 0.626 0.999
0.750 0.374 0.001
0.750 0.626 0.501
0.751 0.124 0.500
0.751 0.876 0.000
0.000 0.373 0.750
0.000 0.627 0.250
0.500 0.123 0.750
0.500 0.373 0.250
0.500 0.627 0.750
0.500 0.877 0.250
0.000 0.125 0.250
0.000 0.875 0.750
```

Computed properties:
raw formation energy = -73.54 kJ/mol of atoms


A relaxed structure of Pa3C3N. Source: Alexandria via LeMat-Bulk, functional GGA-PBE.

```
Pa3C3N
1.0
4.930 0.000 0.000
0.000 4.930 0.000
0.000 0.000 4.930
Pa C N
3 3 1
Direct
0.000 0.000 0.500
0.000 0.500 0.000
0.500 0.000 0.000
0.000 0.500 0.500
0.500 0.000 0.500
0.500 0.500 0.000
0.000 0.000 0.000
```

Computed properties:
raw formation energy = 6.99 kJ/mol of atoms


A relaxed structure of PaCN. Source: Alexandria via LeMat-Bulk, functional GGA-PBE.

```
PaCN
1.0
6.685 0.000 0.000
0.000 3.811 0.000
-0.870 0.000 6.590
Pa C N
4 4 4
Direct
0.200 0.000 0.226
0.300 0.500 0.774
0.700 0.500 0.226
0.800 0.000 0.774
0.063 0.500 0.430
0.437 0.000 0.570
0.563 0.000 0.430
0.937 0.500 0.570
0.151 0.000 0.874
0.349 0.500 0.126
0.651 0.500 0.874
0.849 0.000 0.126
```

Computed properties:
raw formation energy = -97.00 kJ/mol of atoms


A relaxed structure of Pa2CN. Source: Alexandria via LeMat-Bulk, functional GGA-PBE.

```
Pa2CN
1.0
3.433 0.000 0.000
-1.717 2.973 0.000
0.000 0.000 18.503
Pa C N
6 3 3
Direct
0.000 0.000 0.000
0.000 0.000 0.173
0.333 0.667 0.667
0.333 0.667 0.840
0.667 0.333 0.333
0.667 0.333 0.507
0.000 0.000 0.586
0.333 0.667 0.253
0.667 0.333 0.920
0.000 0.000 0.755
0.333 0.667 0.421
0.667 0.333 0.088
```

Computed properties:
raw formation energy = -79.01 kJ/mol of atoms


A relaxed structure of Pa3PbC4N12. Source: Alexandria via LeMat-Bulk, functional GGA-PBE.

```
Pa3PbC4N12
1.0
5.067 2.926 2.902
-5.067 2.926 2.902
0.000 -5.851 2.902
Pa Pb C N
3 1 4 12
Direct
0.000 0.531 0.469
0.469 0.000 0.531
0.531 0.469 0.000
0.000 0.000 0.000
0.029 0.500 0.971
0.500 0.500 0.500
0.500 0.971 0.029
0.971 0.029 0.500
0.029 0.628 0.832
0.105 0.895 0.500
0.168 0.372 0.971
0.366 0.634 0.500
0.372 0.971 0.168
0.500 0.105 0.895
0.500 0.366 0.634
0.628 0.832 0.029
0.634 0.500 0.366
0.832 0.029 0.628
0.895 0.500 0.105
0.971 0.168 0.372
```

Computed properties:
raw formation energy = -34.11 kJ/mol of atoms


A relaxed structure of Pa2PdC2N6. Source: Alexandria via LeMat-Bulk, functional GGA-PBE.

```
Pa2PdC2N6
1.0
5.524 0.000 0.000
2.192 5.112 0.000
2.695 0.997 5.331
Pa Pd C N
2 1 2 6
Direct
0.171 0.204 0.202
0.829 0.796 0.798
0.500 0.500 0.500
0.218 0.122 0.750
0.782 0.878 0.250
0.119 0.063 0.611
0.147 0.381 0.778
0.364 0.931 0.890
0.636 0.069 0.110
0.853 0.619 0.222
0.881 0.937 0.389
```

Computed properties:
raw formation energy = -53.42 kJ/mol of atoms